Record 1
DFT (PBE-GGA) results for Ag2SnTe4As after structural relaxation.

Output
- crystal system = monoclinic
- DOS(E_F) (states/eV/f.u.) = 2.4
- SG = P2/m, No. 10
- formation energy without anion corrections (meV per atom) = -83
- uncorrected energy (eV per atom) = -3.448

Cell and atoms, written as CIF:
```
data_Ag2SnTe4As
_space_group_name_H-M_alt 'P 1'
_space_group_IT_number 1
_cell_length_a 4.255
_cell_length_b 7.341
_cell_length_c 7.354
_cell_angle_alpha 109.49
_cell_angle_beta 90.00
_cell_angle_gamma 90.00
loop_
_space_group_symop_operation_xyz
'x,y,z'
loop_
_atom_site_label
_atom_site_fract_x
_atom_site_fract_y
_atom_site_fract_z
Ag1 0.500 0.000 0.500
Ag2 0.000 0.500 0.500
Sn1 0.500 0.500 0.000
Te1 0.500 0.240 0.249
Te2 0.500 0.760 0.751
Te3 0.000 0.240 0.743
Te4 0.000 0.760 0.257
As1 0.000 0.000 0.000
```

---

Record 2
DFT (PBE-GGA) results for AgSnTe3As after structural relaxation.

Output
- crystal system = monoclinic
- SG = P2_1/m, No. 11
- formation energy without anion corrections (meV per atom) = -78
- uncorrected energy (eV per atom) = -3.566

Cell and atoms, written as CIF:
```
data_AgSnTe3As
_space_group_name_H-M_alt 'P 1'
_space_group_IT_number 1
_cell_length_a 4.227
_cell_length_b 8.666
_cell_length_c 9.738
_cell_angle_alpha 100.96
_cell_angle_beta 90.00
_cell_angle_gamma 90.00
loop_
_space_group_symop_operation_xyz
'x,y,z'
loop_
_atom_site_label
_atom_site_fract_x
_atom_site_fract_y
_atom_site_fract_z
Ag1 0.250 0.068 0.594
Ag2 0.750 0.932 0.406
Sn1 0.750 0.799 0.721
Sn2 0.250 0.201 0.279
Te1 0.250 0.727 0.482
Te2 0.750 0.895 0.114
Te3 0.750 0.432 0.159
Te4 0.750 0.273 0.518
Te5 0.250 0.568 0.841
Te6 0.250 0.105 0.886
As1 0.250 0.677 0.118
As2 0.750 0.323 0.882
```

---

Record 3
DFT (PBE-GGA) results for Ag2SnTeAs after structural relaxation.

Output
- crystal system = tetragonal
- DOS(E_F) (states/eV/f.u.) = 1.8
- SG = P4/mmm, No. 123
- formation energy without anion corrections (meV per atom) = 628
- uncorrected energy (eV per atom) = -2.871

Cell and atoms, written as CIF:
```
data_Ag2SnTeAs
_space_group_name_H-M_alt 'P 1'
_space_group_IT_number 1
_cell_length_a 5.126
_cell_length_b 6.277
_cell_length_c 5.126
_cell_angle_alpha 90.00
_cell_angle_beta 90.00
_cell_angle_gamma 90.00
loop_
_space_group_symop_operation_xyz
'x,y,z'
loop_
_atom_site_label
_atom_site_fract_x
_atom_site_fract_y
_atom_site_fract_z
As1 0.500 0.500 0.500
Te1 0.000 0.000 0.000
Sn1 0.000 0.500 0.000
Ag1 0.000 0.000 0.500
Ag2 0.500 0.000 0.000
```